1.
A geometry-optimized TeIrO4 structure, computed with GGA-PBE.

The space group is P2_1/c (No. 14) and the conventional cell measures 5.672, 4.886 and 5.601 Å, with angles of 90.00, 106.81 and 90.00 degrees. The asymmetric unit holds Te at (0.000, 0.000, 0.000), Ir at (0.500, 0.000, 0.500), O at (0.167, 0.177, 0.361) and O at (0.346, 0.742, 0.697).

For the uncorrected formation energy, the calculation gives -428 kJ/mol of formula units.

2.
A geometry-optimized CdHgSe2 structure, computed with GGA-PBE.

The space group is Cmmm (No. 65) and the conventional cell measures 3.907, 5.104 and 10.440 Å, with angles of 90.00, 90.00 and 90.00 degrees. The asymmetric unit holds Cd at (0.000, 0.000, 0.000), Hg at (0.000, 0.000, 0.500) and Se at (0.000, 0.500, 0.192).

For the energy above the most stable polymorph in this dataset, the calculation gives 495 meV/atom. For the uncorrected formation energy, the calculation gives 30 kJ/mol of formula units.